Entry from Alexandria via LeMat-Bulk: a relaxed structure of SrCdSb4 (PBE).

a = 6.390 Å, b = 6.390 Å, c = 6.390 Å
α = 60.00°, β = 60.00°, γ = 60.00°
Positions (direct):
Sr 0.000 0.000 0.000
Cd 0.750 0.750 0.750
Sb 0.377 0.377 0.377
Sb 0.377 0.377 0.870
Sb 0.377 0.870 0.377
Sb 0.870 0.377 0.377

Values from the calculation:
Raw total energy in eV per atom: -3.3601
Symmetry: F-43m (216)
Magnetization in μB/f.u.: 0.00